Cs3Ho2InS6 | PBE-GGA | relaxed

- formation energy without anion corrections (eV/atom) = -1.48
- size of the total moment (μB/f.u.) = 0.00

Lattice parameters (Å, degrees): 7.0422 12.1942 8.3866 90.00 106.28 90.00
Last column: nearest neighbours and their distance in Å.
Space group C2/m (No. 12)
Symmetry-distinct sites (fractional):
Cs: 0.0000 0.0000 0.0000  6 S 3.47-3.50
Cs: 0.0000 0.3325 0.0000  6 S 3.48-3.50
Ho: 0.0000 0.1665 0.5000  6 S 2.77
In: 0.0000 0.5000 0.5000  6 S 2.73-2.74
S: 0.2242 0.3358 0.6798  1 In 2.73, 2 Ho 2.77
S: 0.2314 0.0000 0.6808  1 In 2.74, 2 Ho 2.77



Cs2Ho2IrO6 | PBE-GGA | relaxed

- formation energy without anion corrections (eV/atom) = -2.10
- size of the total moment (μB/f.u.) = 1.05

Lattice parameters (Å, degrees): 5.8665 10.0639 7.1708 90.00 104.47 90.00
Last column: nearest neighbours and their distance in Å.
Space group C2/m (No. 12)
Symmetry-distinct sites (fractional):
Cs: 0.0000 0.1656 0.0000  6 O 3.01-3.20, 1 Cs 3.33
Ho: 0.0000 0.3348 0.5000  6 O 2.28-2.29
Ir: 0.0000 0.0000 0.5000  6 O 2.10
O: 0.2019 0.1558 0.6541  1 Ir 2.10, 2 Ho 2.28-2.29
O: 0.2403 0.5000 0.6560  1 Ir 2.10, 2 Ho 2.28



Q: Look up the formation energy without anion corrections of the first one.
A: -1.48 eV/atom



Q: Among the records above, which one has the highest formation energy without anion corrections?
A: Cs3Ho2InS6



Q: Number 2 is which compound?
A: Cs2Ho2IrO6